1.
## AcPr2TmP4 (PBE)

Data for a relaxed AcPr2TmP4 crystal.

The structure belongs to space group P2/m (No. 10); the cell edges are 7.2887, 4.2122 and 7.2895 Å and the angles 90.00°, 109.35° and 90.00°. The distinct sites, in fractional coordinates, are Ac at (0.0000, 0.0000, 0.0000), Pr at (0.0000, 0.5000, 0.5000), Pr at (0.5000, 0.0000, 0.5000), Tm at (0.5000, 0.5000, 0.0000), P at (0.2637, 0.0000, 0.7561) and P at (0.2636, 0.5000, 0.2527).

The value obtained for the total DFT energy (no corrections) is -51.52 eV/f.u. The volume is 211 Å³/cell. The crystal system is monoclinic. The density of states at the Fermi level comes out at 0.09 states/eV per atom.

***

2.
## ZrTlSeO5 (PBE)

Data for a relaxed ZrTlSeO5 crystal.

The structure belongs to space group C2/c (No. 15); the cell edges are 7.5420, 9.2900 and 7.9085 Å and the angles 90.00°, 115.27° and 90.00°. The distinct sites, in fractional coordinates, are Zr at (0.2500, 0.2500, 0.0000), Tl at (0.0000, 0.0518, 0.2500), Se at (0.0000, 0.4559, 0.2500), O at (0.0000, 0.2271, 0.7500), O at (0.0538, 0.3331, 0.1151) and O at (0.2165, 0.0277, 0.0657).

The value obtained for the total DFT energy (no corrections) is -51.35 eV/f.u. The formation energy without anion corrections is -1173 kJ/mol of formula units. The volume is 501 Å³/cell. The crystal system is monoclinic. The density of states at the Fermi level comes out at 0.24 states/eV per atom.

***

3.
## Na2TlSnPt (PBE)

Data for a relaxed Na2TlSnPt crystal.

The structure belongs to space group P4/mmm (No. 123); the cell edges are 5.4937, 5.4937 and 5.0594 Å and the angles 90.00°, 90.00° and 90.00°. The distinct sites, in fractional coordinates, are Na at (0.0000, 0.5000, 0.0000), Tl at (0.0000, 0.0000, 0.5000), Sn at (0.5000, 0.5000, 0.5000) and Pt at (0.5000, 0.5000, 0.0000).

The value obtained for the total DFT energy (no corrections) is -15.68 eV/f.u. The volume is 153 Å³/cell. The crystal system is tetragonal. The density of states at the Fermi level comes out at 0.57 states/eV per atom.

***

4.
## Ba2ZnGaPd6 (PBE)

Data for a relaxed Ba2ZnGaPd6 crystal.

The structure belongs to space group C2/m (No. 12); the cell edges are 12.4733, 5.6846 and 8.4799 Å and the angles 90.00°, 131.91° and 90.00°. The distinct sites, in fractional coordinates, are Ba at (0.2456, 0.0000, 0.2005), Zn at (0.0000, 0.5000, 0.0000), Ga at (0.0000, 0.0000, 0.5000), Pd at (0.0162, 0.2524, 0.2714) and Pd at (0.2500, 0.0000, 0.6048).

The value obtained for the total DFT energy (no corrections) is -44.73 eV/f.u. The volume is 447 Å³/cell. The crystal system is monoclinic. The density of states at the Fermi level comes out at 0.43 states/eV per atom.

***

5.
## Tm4GaSiTe2 (PBE)

Data for a relaxed Tm4GaSiTe2 crystal.

The structure belongs to space group P2/m (No. 10); the cell edges are 7.0921, 4.1451 and 7.5781 Å and the angles 90.00°, 108.50° and 90.00°. The distinct sites, in fractional coordinates, are Tm at (0.2364, 0.0000, 0.2210), Tm at (0.2548, 0.5000, 0.7727), Ga at (0.5000, 0.0000, 0.0000), Si at (0.0000, 0.5000, 0.0000), Te at (0.0000, 0.0000, 0.5000) and Te at (0.5000, 0.5000, 0.5000).

The value obtained for the total DFT energy (no corrections) is -40.17 eV/f.u. The formation energy without anion corrections is -728 kJ/mol of formula units. The volume is 211 Å³/cell. The crystal system is monoclinic. The density of states at the Fermi level comes out at 0.47 states/eV per atom.

***

6.
## CaSb4P (PBE)

Data for a relaxed CaSb4P crystal.

The structure belongs to space group F-43m (No. 216); the cell edges are 8.7498, 8.7498 and 8.7498 Å and the angles 90.00°, 90.00° and 90.00°. The distinct sites, in fractional coordinates, are Ca at (0.0000, 0.0000, 0.0000), Sb at (0.1244, 0.1244, 0.3756) and P at (0.2500, 0.2500, 0.7500).

The value obtained for the total DFT energy (no corrections) is -22.86 eV/f.u. The formation energy without anion corrections is 100 kJ/mol of formula units. The volume is 670 Å³/cell. The crystal system is cubic. The density of states at the Fermi level comes out at 0.55 states/eV per atom.

***

7.
## TlSbP2Cl (PBE)

Data for a relaxed TlSbP2Cl crystal.

The structure belongs to space group P4/mmm (No. 123); the cell edges are 5.1570, 5.1570 and 5.1111 Å and the angles 90.00°, 90.00° and 90.00°. The distinct sites, in fractional coordinates, are Tl at (0.0000, 0.0000, 0.0000), Sb at (0.5000, 0.5000, 0.5000), P at (0.0000, 0.5000, 0.0000) and Cl at (0.0000, 0.0000, 0.5000).

The value obtained for the total DFT energy (no corrections) is -14.76 eV/f.u. The formation energy without anion corrections is 424 kJ/mol of formula units. The volume is 136 Å³/cell. The crystal system is tetragonal. The density of states at the Fermi level comes out at 0.69 states/eV per atom.

***

8.
## YZn6Ni12 (PBE)

Data for a relaxed YZn6Ni12 crystal.

The structure belongs to space group R-3m (No. 166, hexagonal axes); the cell edges are 10.4920, 10.4920 and 8.1053 Å and the angles 90.00°, 90.00° and 120.00°. The distinct sites, in fractional coordinates, are Y at (0.0000, 0.0000, 0.0000), Zn at (0.0536, 0.5268, 0.2381), Ni at (0.0000, 0.3900, 0.5000) and Ni at (0.0818, 0.1637, 0.2940).

The value obtained for the total DFT energy (no corrections) is -83.24 eV/f.u. The volume is 773 Å³/cell. The crystal system is trigonal. The density of states at the Fermi level comes out at 1.00 states/eV per atom.

***

9.
## Rb2SrF (PBE)

Data for a relaxed Rb2SrF crystal.

The structure belongs to space group I-42d (No. 122); the cell edges are 8.6176, 8.6176 and 12.2032 Å and the angles 90.00°, 90.00° and 90.00°. The distinct sites, in fractional coordinates, are Rb at (0.0060, 0.2500, 0.1250), Sr at (0.0000, 0.0000, 0.5000) and F at (0.0000, 0.0000, 0.0000).

The value obtained for the total DFT energy (no corrections) is -10.01 eV/f.u. The formation energy without anion corrections is -436 kJ/mol of formula units. The volume is 906 Å³/cell. The crystal system is tetragonal. The density of states at the Fermi level comes out at 0.79 states/eV per atom.

***

10.
## Li2ZrS3 (PBE)

Data for a relaxed Li2ZrS3 crystal.

The structure belongs to space group Pmmn (No. 59, origin choice 2); the cell edges are 3.6974, 11.2901 and 5.1655 Å and the angles 90.00°, 90.00° and 90.00°. The distinct sites, in fractional coordinates, are Li at (0.2500, 0.0893, 0.2492), Zr at (0.2500, 0.7500, 0.2503), S at (0.2500, 0.0910, 0.7493) and S at (0.2500, 0.7500, 0.7507).

The value obtained for the total DFT energy (no corrections) is -33.55 eV/f.u. The formation energy without anion corrections is -849 kJ/mol of formula units. The volume is 216 Å³/cell. The crystal system is orthorhombic.

***

11.
## Ac2MgGa10 (PBE)

Data for a relaxed Ac2MgGa10 crystal.

The structure belongs to space group Pbam (No. 55); the cell edges are 6.7556, 17.5121 and 5.4870 Å and the angles 90.00°, 90.00° and 90.00°. The distinct sites, in fractional coordinates, are Ac at (0.1806, 0.0926, 0.0000), Mg at (0.0000, 0.5000, 0.5000), Ga at (0.0176, 0.8104, 0.5000), Ga at (0.1255, 0.6716, 0.5000), Ga at (0.1336, 0.9581, 0.5000) and Ga at (0.1728, 0.3660, 0.2231).

The value obtained for the total DFT energy (no corrections) is -42.22 eV/f.u. The volume is 649 Å³/cell. The crystal system is orthorhombic. The density of states at the Fermi level comes out at 0.33 states/eV per atom.

***

12.
## MgSb2Pd8 (PBE)

Data for a relaxed MgSb2Pd8 crystal.

The structure belongs to space group Immm (No. 71); the cell edges are 4.1694, 7.4111 and 12.0783 Å and the angles 90.00°, 90.00° and 90.00°. The distinct sites, in fractional coordinates, are Mg at (0.0000, 0.0000, 0.0000), Sb at (0.0000, 0.0000, 0.3167), Pd at (0.0000, 0.2072, 0.5000), Pd at (0.0000, 0.2694, 0.1619) and Pd at (0.0000, 0.5000, 0.3536).

The value obtained for the total DFT energy (no corrections) is -56.56 eV/f.u. The formation energy without anion corrections is -499 kJ/mol of formula units. The volume is 373 Å³/cell. The crystal system is orthorhombic. The density of states at the Fermi level comes out at 0.37 states/eV per atom.

***

Magnetic moment / μB per atom: 0.00, 0.00, 0.00, 0.00, 0.00, 0.00, 0.00, 0.00, 0.00, 0.00, 0.00, 0.00